## La12Tm5Pb3 (GGA-PBE)

Data for La12Tm5Pb3 after structural relaxation.

a = 18.6591 Å, b = 18.6591 Å, c = 18.6591 Å
α = 90.00°, β = 90.00°, γ = 90.00°
With the nearest neighbours (Å) after each atom.
Space group Ia-3d (No. 230)
Asymmetric unit:
La: 0.0140 0.0765 0.6524  2 Tm 3.11-3.19, 2 Pb 3.29-3.47, 1 La 3.46
Tm: 0.0000 0.0000 0.0000  6 La 3.19
Tm: 0.0000 0.2500 0.3750  4 La 3.11
Pb: 0.0000 0.2500 0.1250  8 La 3.29-3.47

## Properties
- Energy of formation: 1082 kJ/mol of formula units
- Calculated total energy: -4.070 eV per atom
- Theoretical density: 6.41 g/cm3



## CaMg3Fe (GGA-PBE)

Data for CaMg3Fe after structural relaxation.

a = 5.8314 Å, b = 5.8314 Å, c = 5.8314 Å
α = 90.00°, β = 90.00°, γ = 90.00°
With the nearest neighbours (Å) after each atom.
Space group Pm-3m (No. 221)
Asymmetric unit:
Ca: 0.0000 0.0000 0.0000  6 Mg 2.92
Mg: 0.0000 0.0000 0.5000  2 Ca 2.92
Fe: 0.5000 0.5000 0.5000  12 Mg 4.12

## Properties
- Energy of formation: 731 kJ/mol of formula units
- Calculated total energy: -1.534 eV per atom
- Theoretical density: 1.41 g/cm3